Entry from the Alexandria database: crystalline YZn4Ni2 at its relaxed geometry (PBE).

Output
Excess energy over the best structure of this formula in the dataset   0.0 meV/atom
Energy of formation from the pure elements   -282 meV/atom
SG   No. 12

Unit cell a=5.0432 b=5.2101 c=5.2101 alpha=76.63 beta=61.24 gamma=61.24
Atoms (fractional coordinates):
Y1 0.0000 0.0000 0.0000
Zn1 0.6933 0.6128 0.0001
Zn2 0.3067 0.3872 0.9999
Zn3 0.6933 0.0000 0.6128
Zn4 0.3067 0.0000 0.3872
Ni1 0.7505 0.4995 0.4995
Ni2 0.2494 0.5005 0.5005

***

Entry from the Alexandria database: crystalline La2TaMo2N6 at its relaxed geometry (PBE).

Output
DFT total energy   -0.3383 Ha/atom
SG   No. 166

Unit cell a=6.0564 b=6.0564 c=6.5562 alpha=62.49 beta=62.49 gamma=60.00
Atoms (fractional coordinates):
La1 0.8036 0.8036 0.5893
La2 0.1964 0.1964 0.4107
Ta1 0.0000 0.0000 0.0000
Mo1 0.4292 0.4292 0.7125
Mo2 0.5708 0.5708 0.2875
N1 0.7670 0.7670 0.2383
N2 0.2277 0.7670 0.2383
N3 0.7670 0.2277 0.2383
N4 0.2330 0.7723 0.7617
N5 0.7723 0.2330 0.7617
N6 0.2330 0.2330 0.7617

***

Entry from the Alexandria database: crystalline AcAl6Ni at its relaxed geometry (PBE).

Output
Energy of formation from the pure elements   -393 meV/atom
SG   No. 123

Unit cell a=4.3146 b=4.3146 c=8.3554 alpha=90.00 beta=90.00 gamma=90.00
Atoms (fractional coordinates):
Ac1 0.0000 0.0000 0.0000
Al1 0.5000 0.0000 0.6576
Al2 0.0000 0.5000 0.6576
Al3 0.5000 0.5000 0.1536
Al4 0.5000 0.5000 0.8464
Al5 0.0000 0.5000 0.3424
Al6 0.5000 0.0000 0.3424
Ni1 0.0000 0.0000 0.5000

***

no.,magnetic moment (μB per formula unit)
1,0.0
2,0.0
3,0.0